GaSiH2 (PBE-GGA, optimized geometry); final energy = -3.58 eV/atom; polymorph energy (0 for the lowest one) = 0.0699 eV per atom
1.0
2.558 0.000 0.000
0.188 2.618 0.000
0.687 1.108 8.770
Ga Si H
1 1 2
direct
0.000 0.000 0.000 Ga
0.075 0.347 0.269 Si
0.365 0.667 0.594 H
0.466 0.673 0.672 H